Entry 1:
Below is an optimized crystal structure of Pr7Zn2Au2, with properties calculated at the GGA-PBE level.

Summary:
* total magnetization: 0.0 μB per cell
* crystal system: orthorhombic
* ΔH_f (0 K): -0.1351 eV/atom

Lattice parameters (Å, degrees): 7.688 11.170 7.883 90.00 90.00 90.00
Space group Cmmm (No. 65)
One atom of each set of equivalent atoms:
Pr  0.000  0.000  0.000 [2 per cell]
Pr  0.000  0.500  0.259 [4 per cell]
Pr  0.250  0.250  0.286 [8 per cell]
Zn  0.000  0.289  0.000 [4 per cell]
Au  0.182  0.000  0.500 [4 per cell]

***

Entry 2:
Below is an optimized crystal structure of LaPb2Br, with properties calculated at the GGA-PBE level.

Summary:
* total magnetization: 0.0 μB per cell
* crystal system: trigonal
* polymorph energy (0 for the lowest one): 0.0 meV per atom

Lattice parameters (Å, degrees): 4.6512 4.6512 24.2714 90.00 90.00 120.00
Space group R3m (No. 160, hexagonal axes)
One atom of each set of equivalent atoms:
La  0.0000  0.0000  0.0000 [3 per cell]
Pb  0.0000  0.0000  0.4679 [3 per cell]
Pb  0.0000  0.0000  0.7387 [3 per cell]
Br  0.0000  0.0000  0.2649 [3 per cell]

***

Entry 3:
Below is an optimized crystal structure of PaCl, with properties calculated at the GGA-PBE level.

Summary:
* total magnetization: 0.0 μB per cell
* crystal system: orthorhombic
* final energy: -6.329 eV per atom

Lattice parameters (Å, degrees): 3.377 4.404 5.728 90.00 90.00 90.00
Space group Pmmn (No. 59, origin choice 2)
One atom of each set of equivalent atoms:
Pa  0.250  0.250  0.193 [2 per cell]
Cl  0.250  0.250  0.693 [2 per cell]

***

Entry 4:
Below is an optimized crystal structure of ReSiSb2, with properties calculated at the GGA-PBE level.

Summary:
* total magnetization: 0.0 μB per cell
* crystal system: trigonal
* final energy: -5.956 eV per atom

Lattice parameters (Å, degrees): 3.2564 3.2564 27.1443 90.00 90.00 120.00
Space group R-3m (No. 166, hexagonal axes)
One atom of each set of equivalent atoms:
Re  0.0000  0.0000  0.0000 [3 per cell]
Si  0.0000  0.0000  0.5000 [3 per cell]
Sb  0.0000  0.0000  0.2591 [6 per cell]

***

Entry 5:
Below is an optimized crystal structure of NdSbRh4, with properties calculated at the GGA-PBE level.

Summary:
* total magnetization: 0.0 μB per cell
* crystal system: orthorhombic
* polymorph energy (0 for the lowest one): 19.7 meV per atom

Lattice parameters (Å, degrees): 7.668 4.097 7.098 90.00 90.00 90.00
Space group Pmma (No. 51)
One atom of each set of equivalent atoms:
Nd  0.250  0.000  0.164 [2 per cell]
Sb  0.250  0.000  0.735 [2 per cell]
Rh  0.000  0.000  0.500 [2 per cell]
Rh  0.042  0.500  0.797 [4 per cell]
Rh  0.250  0.500  0.456 [2 per cell]

***

Entry 6:
Below is an optimized crystal structure of SrMn2Co, with properties calculated at the GGA-PBE level.

Summary:
* total magnetization: 8.5 μB per cell
* crystal system: tetragonal
* polymorph energy (0 for the lowest one): 184.5 meV per atom
* ΔH_f (0 K): 0.4878 eV/atom

Lattice parameters (Å, degrees): 3.105 3.105 7.768 90.00 90.00 90.00
Space group P4/mmm (No. 123)
One atom of each set of equivalent atoms:
Sr  0.000  0.000  0.000 [1 per cell]
Mn  0.500  0.500  0.330 [2 per cell]
Co  0.000  0.000  0.500 [1 per cell]